The following is a DFT calculation (GGA+U) of Na2ThWO6 after structural relaxation.

Output
DFT total energy   -0.5302 Ry/atom
Space group   P2_1/c (14)

a = 5.7363 Å, b = 5.8973 Å, c = 8.2343 Å
α = 90.00°, β = 90.21°, γ = 90.00°
With the nearest neighbours (Å) after each atom.
Atoms (fractional coordinates):
O (0.2772, 0.6829, 0.0454)  1 W 1.96
O (0.8229, 0.7748, 0.9460)  1 W 1.96
O (0.6771, 0.2748, 0.5540)  1 W 1.96
O (0.7228, 0.3171, 0.9546)  1 W 1.96
O (0.1771, 0.2252, 0.0540)  1 W 1.96
O (0.0948, 0.4663, 0.7724)  1 W 1.96
O (0.2228, 0.1829, 0.4546)  1 W 1.96
O (0.7772, 0.8171, 0.5454)  1 W 1.96
O (0.4052, 0.9663, 0.7276)  1 W 1.96
O (0.9052, 0.5337, 0.2276)  1 W 1.96
O (0.3229, 0.7252, 0.4460)  1 W 1.96
O (0.5948, 0.0337, 0.2724)  1 W 1.96
Na (0.9920, 0.0336, 0.7467)  4 O 2.41-2.63
Na (0.0080, 0.9664, 0.2533)  4 O 2.41-2.63
Na (0.5080, 0.5336, 0.7533)  4 O 2.41-2.63
Na (0.4920, 0.4664, 0.2467)  4 O 2.41-2.63
Th (0.5000, 0.0000, 0.0000)  6 O 2.30-2.32
Th (0.0000, 0.5000, 0.5000)  6 O 2.30-2.32
W (0.5000, 0.0000, 0.5000)  6 O 1.96
W (0.0000, 0.5000, 0.0000)  6 O 1.96